BaNiNO2 | GGA+U | optimized geometry

Results
Total magnetic moment ... 5.14 μB/f.u.
SG ... P4/mmm (123)
Calculated density ... 3.341 g cm⁻³
DOS at the Fermi energy ... 0.9427 states/eV/atom
Calculated volume ... 120 Å³ per cell
E_tot ... -3.40 eV per atom

Cell and atoms, written as extended XYZ:
```
5
Lattice="4.8402 0.0000 0.0000 0.0000 4.8402 0.0000 0.0000 0.0000 5.1342" Properties=species:S:1:pos:R:3 pbc="T T T"
Ba 0.0000 0.0000 0.0000
Ni 2.4201 2.4201 2.5671
N 0.0000 0.0000 2.5671
O 0.0000 2.4201 0.0000
O 2.4201 0.0000 0.0000
```